Here is crystalline AcAl5Pd2 at its relaxed geometry from Alexandria. Energies are from PBE-GGA.

Geometry as POSCAR:
```
AcAl5Pd2
1.0
-2.096 3.660 5.062
2.096 -3.660 5.062
2.096 3.660 -5.062
Ac Al Pd
1 5 2
Cartesian
0.000 0.000 0.000 Ac
2.096 2.288 -1.537 Al
2.096 2.288 1.537 Al
0.000 3.660 0.000 Al
0.000 1.372 3.526 Al
0.000 1.372 6.599 Al
2.096 0.000 2.650 Pd
0.000 3.660 2.412 Pd
```

* symmetry: Immm (71)
* total magnetization: 0.000 μB/cell
* E: -4.844 eV per atom

---

Here is crystalline SiRu3Pb at its relaxed geometry from Alexandria. Energies are from PBE-GGA.

Geometry as POSCAR:
```
SiRu3Pb
1.0
4.984 0.000 0.000
0.000 4.984 0.000
0.000 0.000 4.984
Si Ru Pb
1 3 1
Cartesian
0.000 0.000 0.000 Si
0.000 2.492 2.492 Ru
2.492 0.000 2.492 Ru
2.492 2.492 0.000 Ru
2.492 2.492 2.492 Pb
```

* symmetry: Pm-3m (221)
* total magnetization: 4.965 μB/cell
* polymorph energy (0 for the lowest one): 1838.8 meV per atom
* raw formation energy: 2340 meV/atom